(1)
VASP calculation (meta-GGA SCAN) on Mg2Pd2Au at its PBEsol-relaxed geometry.

Lattice parameters (Å, degrees): 3.1421 7.2442 7.2442 90.00 90.00 90.00
Atoms (fractional coordinates):
Mg  0.5000  0.1658  0.6658
Mg  0.5000  0.6658  0.8342
Mg  0.5000  0.8342  0.3342
Mg  0.5000  0.3342  0.1658
Au  0.0000  0.0000  0.0000
Au  0.0000  0.5000  0.5000
Pd  0.0000  0.3664  0.8664
Pd  0.0000  0.8664  0.6336
Pd  0.0000  0.6336  0.1336
Pd  0.0000  0.1336  0.3664

Values from the calculation:
ρ   9.233 g/cm³
Energy of formation   -3.0 eV/f.u.
Total DFT energy (no corrections)   -295.22 eV per cell

(2)
VASP calculation (meta-GGA SCAN) on MgRe2PdAu at its PBEsol-relaxed geometry.

Lattice parameters (Å, degrees): 4.5993 4.6616 4.6616 90.00 90.00 90.00
Each line ends with the local moment (μB).
Atoms (fractional coordinates):
Re  0.0000  0.0000  0.5000  0.19
Re  0.0000  0.5000  0.0000  0.19
Mg  0.5000  0.0000  0.0000  0.00
Au  0.5000  0.5000  0.5000  0.00
Pd  0.0000  0.0000  0.0000  0.01

Values from the calculation:
ρ   11.632 g/cm³
Energy of formation   9.1 eV/f.u.
Total DFT energy (no corrections)   -240.04 eV per cell

(3)
VASP calculation (meta-GGA SCAN) on MgPdRhAu2 at its PBEsol-relaxed geometry.

Lattice parameters (Å, degrees): 4.6622 4.9430 4.9430 90.00 90.00 90.00
Each line ends with the local moment (μB).
Atoms (fractional coordinates):
Rh  0.0000  0.0000  0.0000  0.86
Mg  0.5000  0.5000  0.5000  0.01
Au  0.0000  0.0000  0.5000  0.04
Au  0.0000  0.5000  0.0000  0.04
Pd  0.5000  0.0000  0.0000  0.47

Values from the calculation:
ρ   9.148 g/cm³
Energy of formation   3.5 eV/f.u.
Total DFT energy (no corrections)   -206.31 eV per cell

(4)
VASP calculation (meta-GGA SCAN) on PmMgAu2 at its PBEsol-relaxed geometry.

Lattice parameters (Å, degrees): 4.9133 4.9133 4.9133 60.00 60.00 60.00
Atoms (fractional coordinates):
Mg  0.5000  0.5000  0.5000
Au  0.7500  0.7500  0.7500
Au  0.2500  0.2500  0.2500
Pm  0.0000  0.0000  0.0000

Values from the calculation:
ρ   11.152 g/cm³
Energy of formation   -3.7 eV/f.u.
Total DFT energy (no corrections)   -190.97 eV per cell

(5)
VASP calculation (meta-GGA SCAN) on Mg2PtAu at its PBEsol-relaxed geometry.

Lattice parameters (Å, degrees): 3.0170 4.6459 4.6455 90.00 90.00 90.00
Atoms (fractional coordinates):
Mg  0.0000  0.0000  0.1249
Mg  0.0000  0.5000  0.6250
Au  0.5000  0.5000  0.1251
Pt  0.5000  0.0000  0.6251

Values from the calculation:
ρ   11.238 g/cm³
Energy of formation   -3.5 eV/f.u.
Total DFT energy (no corrections)   -152.76 eV per cell

(6)
VASP calculation (meta-GGA SCAN) on Mg2PtAu at its PBEsol-relaxed geometry.

Lattice parameters (Å, degrees): 2.9962 2.9962 8.8273 80.23 80.23 60.00
Atoms (fractional coordinates):
Au  0.0000  0.0000  0.0000
Mg  0.2468  0.2468  0.2597
Mg  0.7532  0.7532  0.7403
Pt  0.5000  0.5000  0.5000

Values from the calculation:
ρ   10.873 g/cm³
Energy of formation   -2.2 eV/f.u.
Total DFT energy (no corrections)   -151.48 eV per cell

no.,total moment (μB/cell)
1,0.000
2,0.464
3,1.380
4,0.001
5,0.000
6,0.000